[1]
First-principles (GGA-PBE) data for a geometry-optimized KZnSb structure, as listed in Alexandria.

Properties
Crystal system: tetragonal
Raw formation energy (eV/atom): -0.099

Unit cell a=4.003 b=4.003 c=12.264 alpha=90.00 beta=90.00 gamma=90.00
Space group I4mm (No. 107)
Inequivalent atoms, fractional coordinates:
K 0.000 0.000 0.000 (multiplicity 2)
Zn 0.000 0.000 0.256 (multiplicity 2)
Sb 0.000 0.000 0.721 (multiplicity 2)

[2]
First-principles (GGA-PBE) data for a geometry-optimized K3Zn2Sb2 structure, as listed in Alexandria.

Properties
Crystal system: orthorhombic
Raw formation energy (eV/atom): -0.285

Unit cell a=6.647 b=9.718 c=14.443 alpha=90.00 beta=90.00 gamma=90.00
Space group Pbcm (No. 57)
Inequivalent atoms, fractional coordinates:
K 0.113 0.138 0.109 (multiplicity 8)
K 0.328 0.720 0.750 (multiplicity 4)
Zn 0.388 0.024 0.582 (multiplicity 8)
Sb 0.204 0.065 0.750 (multiplicity 4)
Sb 0.397 0.750 0.000 (multiplicity 4)

[3]
First-principles (GGA-PBE) data for a geometry-optimized KZnSb structure, as listed in Alexandria.

Properties
Crystal system: triclinic
Raw formation energy (eV/atom): -0.322

Unit cell a=4.426 b=6.353 c=7.611 alpha=77.86 beta=73.12 gamma=89.93
Space group P-1 (No. 2)
Inequivalent atoms, fractional coordinates:
K 0.095 0.300 0.309 (multiplicity 2)
Zn 0.221 0.882 0.058 (multiplicity 2)
Sb 0.379 0.219 0.741 (multiplicity 2)

[4]
First-principles (GGA-PBE) data for a geometry-optimized KZnSb4 structure, as listed in Alexandria.

Properties
Crystal system: cubic
Raw formation energy (eV/atom): 0.042

Unit cell a=9.041 b=9.041 c=9.041 alpha=90.00 beta=90.00 gamma=90.00
Space group F-43m (No. 216)
Inequivalent atoms, fractional coordinates:
K 0.000 0.000 0.000 (multiplicity 4)
Zn 0.250 0.250 0.250 (multiplicity 4)
Sb 0.120 0.120 0.620 (multiplicity 16)

[5]
First-principles (GGA-PBE) data for a geometry-optimized KZn2Sb structure, as listed in Alexandria.

Properties
Crystal system: orthorhombic
Raw formation energy (eV/atom): 0.200

Unit cell a=3.682 b=5.011 c=5.832 alpha=90.00 beta=90.00 gamma=90.00
Space group Pmmm (No. 47)
Inequivalent atoms, fractional coordinates:
K 0.000 0.000 0.000 (multiplicity 1)
Zn 0.000 0.500 0.500 (multiplicity 1)
Zn 0.500 0.500 0.000 (multiplicity 1)
Sb 0.500 0.000 0.500 (multiplicity 1)

[6]
First-principles (GGA-PBE) data for a geometry-optimized K4Zn5Sb6 structure, as listed in Alexandria.

Properties
Crystal system: orthorhombic
Raw formation energy (eV/atom): -0.246

Unit cell a=4.530 b=20.946 c=19.446 alpha=90.00 beta=90.00 gamma=90.00
Space group Cmc2_1 (No. 36)
Inequivalent atoms, fractional coordinates:
K 0.000 0.006 0.000 (multiplicity 4)
K 0.000 0.006 0.251 (multiplicity 4)
K 0.000 0.186 0.305 (multiplicity 4)
K 0.000 0.186 0.945 (multiplicity 4)
Zn 0.000 0.125 0.626 (multiplicity 4)
Zn 0.000 0.264 0.626 (multiplicity 4)
Zn 0.000 0.376 0.004 (multiplicity 4)
Zn 0.000 0.376 0.247 (multiplicity 4)
Zn 0.000 0.419 0.626 (multiplicity 4)
Sb 0.000 0.149 0.125 (multiplicity 4)
Sb 0.000 0.196 0.506 (multiplicity 4)
Sb 0.000 0.196 0.745 (multiplicity 4)
Sb 0.000 0.433 0.879 (multiplicity 4)
Sb 0.000 0.434 0.372 (multiplicity 4)
Sb 0.000 0.452 0.126 (multiplicity 4)

[7]
First-principles (GGA-PBE) data for a geometry-optimized KZnSb structure, as listed in Alexandria.

Properties
Crystal system: orthorhombic
Raw formation energy (eV/atom): 0.022

Unit cell a=4.745 b=4.796 c=14.903 alpha=90.00 beta=90.00 gamma=90.00
Space group Fmm2 (No. 42)
Inequivalent atoms, fractional coordinates:
K 0.000 0.000 0.000 (multiplicity 4)
Zn 0.000 0.000 0.331 (multiplicity 4)
Sb 0.000 0.000 0.689 (multiplicity 4)

[8]
First-principles (GGA-PBE) data for a geometry-optimized KZn2Sb2 structure, as listed in Alexandria.

Properties
Crystal system: tetragonal
Raw formation energy (eV/atom): -0.248

Unit cell a=4.171 b=4.171 c=16.424 alpha=90.00 beta=90.00 gamma=90.00
Space group I4/mmm (No. 139)
Inequivalent atoms, fractional coordinates:
K 0.000 0.000 0.000 (multiplicity 2)
Zn 0.000 0.500 0.250 (multiplicity 4)
Sb 0.000 0.000 0.359 (multiplicity 4)

[9]
First-principles (GGA-PBE) data for a geometry-optimized KZn3Sb2 structure, as listed in Alexandria.

Properties
Crystal system: monoclinic
Raw formation energy (eV/atom): -0.166

Unit cell a=17.408 b=4.255 c=9.772 alpha=90.00 beta=116.53 gamma=90.00
Space group C2/m (No. 12)
Inequivalent atoms, fractional coordinates:
K 0.128 0.000 0.056 (multiplicity 4)
Zn 0.087 0.500 0.606 (multiplicity 4)
Zn 0.125 0.000 0.435 (multiplicity 4)
Zn 0.214 0.500 0.403 (multiplicity 4)
Sb 0.033 0.500 0.276 (multiplicity 4)
Sb 0.186 0.000 0.753 (multiplicity 4)

[10]
First-principles (GGA-PBE) data for a geometry-optimized KZnSb structure, as listed in Alexandria.

Properties
Crystal system: monoclinic
Raw formation energy (eV/atom): -0.147

Unit cell a=10.301 b=6.698 c=10.310 alpha=90.00 beta=110.27 gamma=90.00
Space group Cc (No. 9)
Inequivalent atoms, fractional coordinates:
K 0.000 0.247 0.000 (multiplicity 4)
K 0.371 0.252 0.129 (multiplicity 4)
Zn 0.173 0.250 0.561 (multiplicity 4)
Zn 0.440 0.240 0.827 (multiplicity 4)
Sb 0.187 0.497 0.811 (multiplicity 4)
Sb 0.189 0.001 0.813 (multiplicity 4)

[11]
First-principles (GGA-PBE) data for a geometry-optimized K3ZnSb structure, as listed in Alexandria.

Properties
Crystal system: orthorhombic
Raw formation energy (eV/atom): -0.069

Unit cell a=13.817 b=8.314 c=7.853 alpha=90.00 beta=90.00 gamma=90.00
Space group Ima2 (No. 46)
Inequivalent atoms, fractional coordinates:
K 0.009 0.250 0.000 (multiplicity 8)
K 0.250 0.596 0.255 (multiplicity 4)
Zn 0.250 0.246 0.501 (multiplicity 4)
Sb 0.250 0.039 0.247 (multiplicity 4)

[12]
First-principles (GGA-PBE) data for a geometry-optimized KZnSb structure, as listed in Alexandria.

Properties
Crystal system: trigonal
Raw formation energy (eV/atom): 0.148

Unit cell a=3.5579 b=3.5579 c=7.9799 alpha=90.00 beta=90.00 gamma=120.00
Space group P3m1 (No. 156)
Inequivalent atoms, fractional coordinates:
K 0.0000 0.0000 0.0000 (multiplicity 1)
Zn 0.3333 0.6667 0.6584 (multiplicity 1)
Sb 0.6667 0.3333 0.3738 (multiplicity 1)

> Which of these has the lowest raw formation energy?

number 3

> Which of these has the highest raw formation energy?

KZn2Sb

> Which of these has the highest raw formation energy?

KZn2Sb